1.
Density functional theory data (GGA-PBE) for a relaxed structure of DyCuBi2.

N(E_F): 0.953 states/eV/atom
Formation energy from the elements: -1.23 kcal/mol of atoms

```
data_DyCuBi2
_chemical_formula_sum 'Dy3 Cu3 Bi6'
_cell_length_a 4.4407
_cell_length_b 4.4407
_cell_length_c 19.1872
_cell_angle_alpha 90.00
_cell_angle_beta 90.00
_cell_angle_gamma 120.00
_space_group_name_H-M_alt 'R -3 m'
_space_group_IT_number 166
_space_group_name_Hall '-R 3 2"'
loop_
_atom_site_label
_atom_site_fract_x
_atom_site_fract_y
_atom_site_fract_z
Dy1 0.0000 0.0000 0.0000
Cu1 0.0000 0.0000 0.5000
Bi1 0.0000 0.0000 0.2363
```

***

2.
Density functional theory data (GGA-PBE) for a relaxed structure of Dy7Cu2Bi2.

N(E_F): 1.026 states/eV/atom
Formation energy from the elements: -8.11 kcal/mol of atoms

```
data_Dy7Cu2Bi2
_chemical_formula_sum 'Dy14 Cu4 Bi4'
_cell_length_a 4.0331
_cell_length_b 15.5816
_cell_length_c 9.8377
_cell_angle_alpha 90.00
_cell_angle_beta 90.00
_cell_angle_gamma 90.00
_space_group_name_H-M_alt 'I m m 2'
_space_group_IT_number 44
loop_
_space_group_symop_operation_xyz
'x,y,z'
'-x,-y,z'
'-x,y,z'
'x,-y,z'
'x+1/2,y+1/2,z+1/2'
'-x+1/2,-y+1/2,z+1/2'
'-x+1/2,y+1/2,z+1/2'
'x+1/2,-y+1/2,z+1/2'
loop_
_atom_site_label
_atom_site_fract_x
_atom_site_fract_y
_atom_site_fract_z
Dy1 0.0000 0.0000 0.0000
Dy2 0.0000 0.1257 0.4186
Dy3 0.0000 0.3098 0.6239
Dy4 0.0000 0.3565 0.2748
Cu1 0.0000 0.2372 0.9315
Bi1 0.0000 0.0000 0.6701
Bi2 0.0000 0.5000 0.7578
```

***

3.
Density functional theory data (GGA-PBE) for a relaxed structure of Dy8CuBi2.

N(E_F): 1.107 states/eV/atom
Formation energy from the elements: -6.47 kcal/mol of atoms

```
data_Dy8CuBi2
_chemical_formula_sum 'Dy16 Cu2 Bi4'
_cell_length_a 17.9946
_cell_length_b 5.1598
_cell_length_c 6.8226
_cell_angle_alpha 90.00
_cell_angle_beta 93.12
_cell_angle_gamma 90.00
_space_group_name_H-M_alt 'C 1 2/m 1'
_space_group_IT_number 12
loop_
_space_group_symop_operation_xyz
'x,y,z'
'-x,-y,-z'
'-x,y,-z'
'x,-y,z'
'x+1/2,y+1/2,z'
'-x+1/2,-y+1/2,-z'
'-x+1/2,y+1/2,-z'
'x+1/2,-y+1/2,z'
loop_
_atom_site_label
_atom_site_fract_x
_atom_site_fract_y
_atom_site_fract_z
Dy1 0.0271 0.0000 0.2584
Dy2 0.0891 0.5000 0.9238
Dy3 0.1509 0.5000 0.4069
Dy4 0.2125 0.0000 0.1301
Cu1 0.0000 0.5000 0.5000
Bi1 0.1681 0.0000 0.6683
```

***

4.
Density functional theory data (GGA-PBE) for a relaxed structure of DyCuBi2.

N(E_F): 0.566 states/eV/atom
Formation energy from the elements: -5.43 kcal/mol of atoms

```
data_DyCuBi2
_chemical_formula_sum 'Dy1 Cu1 Bi2'
_cell_length_a 4.8509
_cell_length_b 4.8509
_cell_length_c 4.2825
_cell_angle_alpha 90.00
_cell_angle_beta 90.00
_cell_angle_gamma 90.00
_space_group_name_H-M_alt 'P 4/m m m'
_space_group_IT_number 123
_space_group_name_Hall '-P 4 2'
loop_
_atom_site_label
_atom_site_fract_x
_atom_site_fract_y
_atom_site_fract_z
Dy1 0.0000 0.0000 0.0000
Cu1 0.5000 0.5000 0.0000
Bi1 0.0000 0.5000 0.5000
```

***

5.
Density functional theory data (GGA-PBE) for a relaxed structure of Dy4CuBi2.

N(E_F): 0.979 states/eV/atom
Formation energy from the elements: -10.73 kcal/mol of atoms

```
data_Dy4CuBi2
_chemical_formula_sum 'Dy8 Cu2 Bi4'
_cell_length_a 11.8891
_cell_length_b 4.3799
_cell_length_c 8.7577
_cell_angle_alpha 90.00
_cell_angle_beta 119.02
_cell_angle_gamma 90.00
_space_group_name_H-M_alt 'C 1 2/m 1'
_space_group_IT_number 12
loop_
_space_group_symop_operation_xyz
'x,y,z'
'-x,-y,-z'
'-x,y,-z'
'x,-y,z'
'x+1/2,y+1/2,z'
'-x+1/2,-y+1/2,-z'
'-x+1/2,y+1/2,-z'
'x+1/2,-y+1/2,z'
loop_
_atom_site_label
_atom_site_fract_x
_atom_site_fract_y
_atom_site_fract_z
Dy1 0.0710 0.0000 0.3551
Dy2 0.1589 0.5000 0.0527
Cu1 0.0000 0.0000 0.0000
Bi1 0.1609 0.5000 0.6688
```

***

6.
Density functional theory data (GGA-PBE) for a relaxed structure of Dy5CuBi2.

N(E_F): 1.311 states/eV/atom
Formation energy from the elements: -1.51 kcal/mol of atoms

```
data_Dy5CuBi2
_chemical_formula_sum 'Dy20 Cu4 Bi8'
_cell_length_a 5.5765
_cell_length_b 15.2372
_cell_length_c 13.4994
_cell_angle_alpha 90.00
_cell_angle_beta 90.00
_cell_angle_gamma 90.00
_space_group_name_H-M_alt 'C m c m'
_space_group_IT_number 63
_space_group_name_Hall '-C 2c 2'
loop_
_atom_site_label
_atom_site_fract_x
_atom_site_fract_y
_atom_site_fract_z
Dy1 0.0000 0.0843 0.1163
Dy2 0.0000 0.2874 0.7500
Dy3 0.0000 0.3051 0.0376
Cu1 0.0000 0.2246 0.2500
Bi1 0.0000 0.1224 0.6067
```